This record from OQMD via LeMat-Bulk describes a relaxed ErTmNO crystal. The functional is PBE-GGA.

Cell: 6.5151 7.9452 4.8282 Å, 90.00 90.00 90.00°
Positions (direct):
Er 0.0683 0.6223 0.0507
Tm 0.5842 0.8734 0.0502
Er 0.4317 0.6223 0.5507
O 0.5939 0.3649 0.5507
Er 0.5683 0.3777 0.0507
O 0.4061 0.6351 0.0507
N 0.9298 0.8763 0.0508
O 0.9061 0.3649 0.0507
Tm 0.4158 0.1266 0.5502
N 0.4298 0.1237 0.0508
O 0.0939 0.6351 0.5507
Tm 0.9158 0.8734 0.5502
Tm 0.0842 0.1266 0.0502
N 0.0702 0.1237 0.5508
Er 0.9317 0.3777 0.5507
N 0.5702 0.8763 0.5508

Theoretical density: 9.7 g/cm3
Space group: Pbcm
Relative energy among the computed polymorphs: 2.82 kcal/mol of atoms
Electronic total energy: -125.39 eV per cell